[1]
## Li6Mg12Au (PBE)

Data for a relaxed Li6Mg12Au crystal.

a b c (Å): 7.9792 7.9813 7.9813
angles (deg): 70.52 70.53 109.47
Sites, in units of the cell vectors:
Li: 0.3579 0.5011 0.1410
Li: 0.1432 0.6421 0.4989
Li: 0.5011 0.8590 0.6421
Li: 0.6421 0.4989 0.8590
Li: 0.8568 0.3579 0.5011
Li: 0.4989 0.1410 0.3579
Mg: 0.5506 0.8209 0.2698
Mg: 0.7297 0.9094 0.8209
Mg: 0.8203 0.2698 0.9094
Mg: 0.4494 0.1791 0.7302
Mg: 0.2703 0.0906 0.1791
Mg: 0.1797 0.7302 0.0906
Mg: 0.2732 0.4515 0.8140
Mg: 0.9128 0.1860 0.2655
Mg: 0.1783 0.2655 0.5485
Mg: 0.7268 0.5485 0.1860
Mg: 0.0872 0.8140 0.7345
Mg: 0.8217 0.7345 0.4515
Au: 0.0000 0.0000 0.0000

Output
As for the formation energy: -0.049 eV per atom. The calculation puts the density of states at the Fermi level at 5.384 states/eV/cell. The total energy comes out at -34.82 eV for the cell shown. The crystal system is trigonal.

[2]
## Li8Mg3Au (PBE)

Data for a relaxed Li8Mg3Au crystal.

a b c (Å): 7.2080 7.2080 7.2080
angles (deg): 95.22 117.04 117.04
Sites, in units of the cell vectors:
Li: 0.4699 0.2029 0.2029
Li: 0.5301 0.7330 0.7330
Li: 0.0000 0.7971 0.2670
Li: 0.0000 0.2670 0.7971
Li: 0.2562 0.3551 0.3551
Li: 0.7438 0.0989 0.0989
Li: 0.0000 0.6449 0.9011
Li: 0.0000 0.9011 0.6449
Mg: 0.5000 0.7500 0.2500
Mg: 0.5000 0.2500 0.7500
Mg: 0.0000 0.5000 0.5000
Au: 0.0000 0.0000 0.0000

Output
As for the formation energy: 0.067 eV per atom. The calculation puts the density of states at the Fermi level at 5.057 states/eV/cell. The total energy comes out at -22.57 eV for the cell shown. The crystal system is tetragonal.

[3]
## LiMg3Au6 (PBE)

Data for a relaxed LiMg3Au6 crystal.

a b c (Å): 4.6856 7.8411 9.9901
angles (deg): 107.67 90.00 90.00
Sites, in units of the cell vectors:
Li: 0.2500 0.9511 0.5915
Li: 0.7500 0.0489 0.4085
Mg: 0.2500 0.5437 0.3901
Mg: 0.7500 0.4563 0.6099
Mg: 0.2500 0.3564 0.7869
Mg: 0.7500 0.6436 0.2131
Mg: 0.2500 0.7729 0.9932
Mg: 0.7500 0.2271 0.0068
Au: 0.2500 0.4635 0.0836
Au: 0.7500 0.5365 0.9164
Au: 0.2500 0.1568 0.1876
Au: 0.7500 0.8432 0.8124
Au: 0.2500 0.6538 0.6840
Au: 0.7500 0.3462 0.3160
Au: 0.2500 0.2420 0.4967
Au: 0.7500 0.7580 0.5033
Au: 0.2500 0.8543 0.3030
Au: 0.7500 0.1457 0.6970
Au: 0.2500 0.0617 0.8761
Au: 0.7500 0.9383 0.1239

Output
As for the formation energy: -0.510 eV per atom. The calculation puts the density of states at the Fermi level at 4.304 states/eV/cell. The total energy comes out at -62.93 eV for the cell shown. The crystal system is monoclinic.